Entry 1:
Density functional theory data (PBE) for a geometry-optimized ZnCu4Si2Ni structure.

Summary:
DFT total energy   -4.068 eV per atom

a = 4.084 Å, b = 4.084 Å, c = 5.766 Å
α = 90.00°, β = 90.00°, γ = 90.00°
Atoms (fractional coordinates):
Zn  0.000  0.000  0.000
Cu  0.000  0.500  0.251
Cu  0.000  0.500  0.749
Cu  0.500  0.000  0.251
Cu  0.500  0.000  0.749
Si  0.000  0.000  0.500
Si  0.500  0.500  0.000
Ni  0.500  0.500  0.500

Entry 2:
Density functional theory data (PBE) for a geometry-optimized ZrCuSiNi structure.

Summary:
DFT total energy   -6.212 eV per atom
Energy above the lowest structure with this stoichiometry   0 meV/atom

a = 6.084 Å, b = 6.084 Å, c = 6.084 Å
α = 90.00°, β = 90.00°, γ = 90.00°
Atoms (fractional coordinates):
Zr  0.000  0.000  0.000
Zr  0.000  0.500  0.500
Zr  0.500  0.000  0.500
Zr  0.500  0.500  0.000
Cu  0.250  0.250  0.750
Cu  0.250  0.750  0.250
Cu  0.750  0.250  0.250
Cu  0.750  0.750  0.750
Si  0.000  0.000  0.500
Si  0.000  0.500  0.000
Si  0.500  0.000  0.000
Si  0.500  0.500  0.500
Ni  0.250  0.250  0.250
Ni  0.250  0.750  0.750
Ni  0.750  0.250  0.750
Ni  0.750  0.750  0.250

Entry 3:
Density functional theory data (PBE) for a geometry-optimized ZrCuSiNi structure.

Summary:
DFT total energy   -6.118 eV per atom
Energy above the lowest structure with this stoichiometry   94 meV/atom

a = 6.111 Å, b = 6.111 Å, c = 6.111 Å
α = 90.00°, β = 90.00°, γ = 90.00°
Atoms (fractional coordinates):
Zr  0.000  0.000  0.000
Zr  0.000  0.500  0.500
Zr  0.500  0.000  0.500
Zr  0.500  0.500  0.000
Cu  0.000  0.000  0.500
Cu  0.000  0.500  0.000
Cu  0.500  0.000  0.000
Cu  0.500  0.500  0.500
Si  0.250  0.250  0.250
Si  0.250  0.750  0.750
Si  0.750  0.250  0.750
Si  0.750  0.750  0.250
Ni  0.250  0.250  0.750
Ni  0.250  0.750  0.250
Ni  0.750  0.250  0.250
Ni  0.750  0.750  0.750

Entry 4:
Density functional theory data (PBE) for a geometry-optimized SmCu2Ni2 structure.

Summary:
DFT total energy   -4.816 eV per atom

a = 3.872 Å, b = 3.872 Å, c = 10.402 Å
α = 90.00°, β = 90.00°, γ = 90.00°
Atoms (fractional coordinates):
Sm  0.250  0.250  0.247
Sm  0.750  0.750  0.753
Cu  0.250  0.250  0.865
Cu  0.250  0.750  0.500
Cu  0.750  0.250  0.500
Cu  0.750  0.750  0.135
Ni  0.250  0.250  0.640
Ni  0.250  0.750  0.000
Ni  0.750  0.250  0.000
Ni  0.750  0.750  0.360

Entry 5:
Density functional theory data (PBE) for a geometry-optimized Sm2TlCuNi structure.

Summary:
DFT total energy   -4.587 eV per atom

a = 3.758 Å, b = 4.103 Å, c = 14.499 Å
α = 90.00°, β = 90.00°, γ = 90.00°
Atoms (fractional coordinates):
Sm  0.000  0.000  0.000
Sm  0.000  0.000  0.273
Sm  0.000  0.500  0.500
Sm  0.000  0.500  0.773
Tl  0.500  0.000  0.640
Tl  0.500  0.500  0.140
Cu  0.500  0.000  0.434
Cu  0.500  0.500  0.934
Ni  0.500  0.000  0.841
Ni  0.500  0.500  0.341

Entry 6:
Density functional theory data (PBE) for a geometry-optimized SmZn3CuNi structure.

Summary:
DFT total energy   -3.311 eV per atom

a = 5.173 Å, b = 5.173 Å, c = 4.169 Å
α = 90.00°, β = 90.00°, γ = 120.00°
Atoms (fractional coordinates):
Sm  0.000  0.000  0.000
Zn  0.501  0.002  0.500
Zn  0.501  0.499  0.500
Zn  0.998  0.499  0.500
Cu  0.333  0.667  0.000
Ni  0.667  0.333  0.000

Entry 7:
Density functional theory data (PBE) for a geometry-optimized Cu2NiSn structure.

Summary:
DFT total energy   -4.300 eV per atom

a = 6.040 Å, b = 6.040 Å, c = 6.040 Å
α = 90.00°, β = 90.00°, γ = 90.00°
Atoms (fractional coordinates):
Cu  0.000  0.000  0.000
Cu  0.000  0.500  0.500
Cu  0.250  0.250  0.250
Cu  0.250  0.750  0.750
Cu  0.500  0.000  0.500
Cu  0.500  0.500  0.000
Cu  0.750  0.250  0.750
Cu  0.750  0.750  0.250
Ni  0.000  0.000  0.500
Ni  0.000  0.500  0.000
Ni  0.500  0.000  0.000
Ni  0.500  0.500  0.500
Sn  0.250  0.250  0.750
Sn  0.250  0.750  0.250
Sn  0.750  0.250  0.250
Sn  0.750  0.750  0.750

Entry 8:
Density functional theory data (PBE) for a geometry-optimized Cu5NiSn2 structure.

Summary:
DFT total energy   -3.976 eV per atom

a = 4.305 Å, b = 4.305 Å, c = 6.091 Å
α = 90.00°, β = 90.00°, γ = 90.00°
Atoms (fractional coordinates):
Cu  0.000  0.000  0.000
Cu  0.000  0.500  0.250
Cu  0.000  0.500  0.750
Cu  0.500  0.000  0.250
Cu  0.500  0.000  0.750
Ni  0.500  0.500  0.500
Sn  0.000  0.000  0.500
Sn  0.500  0.500  0.000

Entry 9:
Density functional theory data (PBE) for a geometry-optimized Cu2NiSn structure.

Summary:
DFT total energy   -4.315 eV per atom

a = 4.324 Å, b = 5.297 Å, c = 4.817 Å
α = 90.00°, β = 90.00°, γ = 90.00°
Atoms (fractional coordinates):
Cu  0.250  0.001  0.145
Cu  0.250  0.499  0.145
Cu  0.750  0.501  0.855
Cu  0.750  0.999  0.855
Ni  0.250  0.250  0.670
Ni  0.750  0.750  0.330
Sn  0.250  0.750  0.646
Sn  0.750  0.250  0.354

Entry 10:
Density functional theory data (PBE) for a geometry-optimized Cu5NiSn2 structure.

Summary:
DFT total energy   -3.976 eV per atom

a = 4.305 Å, b = 4.305 Å, c = 6.091 Å
α = 90.00°, β = 90.00°, γ = 90.00°
Atoms (fractional coordinates):
Cu  0.000  0.000  0.000
Cu  0.000  0.500  0.250
Cu  0.000  0.500  0.750
Cu  0.500  0.000  0.250
Cu  0.500  0.000  0.750
Ni  0.500  0.500  0.500
Sn  0.000  0.000  0.500
Sn  0.500  0.500  0.000

Entry 11:
Density functional theory data (PBE) for a geometry-optimized CuNiSn2 structure.

Summary:
DFT total energy   -3.947 eV per atom

a = 6.661 Å, b = 6.661 Å, c = 6.661 Å
α = 90.00°, β = 90.00°, γ = 90.00°
Atoms (fractional coordinates):
Cu  0.000  0.000  0.000
Cu  0.000  0.500  0.500
Cu  0.500  0.000  0.500
Cu  0.500  0.500  0.000
Ni  0.250  0.250  0.250
Ni  0.250  0.750  0.750
Ni  0.750  0.250  0.750
Ni  0.750  0.750  0.250
Sn  0.000  0.000  0.500
Sn  0.000  0.500  0.000
Sn  0.250  0.250  0.750
Sn  0.250  0.750  0.250
Sn  0.500  0.000  0.000
Sn  0.500  0.500  0.500
Sn  0.750  0.250  0.250
Sn  0.750  0.750  0.750

Entry 12:
Density functional theory data (PBE) for a geometry-optimized CuNi3Sn5 structure.

Summary:
DFT total energy   -4.484 eV per atom

a = 5.183 Å, b = 5.183 Å, c = 7.532 Å
α = 90.00°, β = 90.00°, γ = 120.00°
Atoms (fractional coordinates):
Cu  0.000  0.000  0.000
Ni  0.000  0.500  0.500
Ni  0.500  0.000  0.500
Ni  0.500  0.500  0.500
Sn  0.000  0.000  0.500
Sn  0.333  0.667  0.202
Sn  0.333  0.667  0.798
Sn  0.667  0.333  0.202
Sn  0.667  0.333  0.798

Entry 13:
Density functional theory data (PBE) for a geometry-optimized Sr2CuNi structure.

Summary:
DFT total energy   -3.258 eV per atom

a = 4.197 Å, b = 4.197 Å, c = 15.420 Å
α = 90.00°, β = 90.00°, γ = 120.00°
Atoms (fractional coordinates):
Sr  0.333  0.667  0.122
Sr  0.333  0.667  0.378
Sr  0.667  0.333  0.622
Sr  0.667  0.333  0.878
Cu  0.333  0.667  0.750
Cu  0.667  0.333  0.250
Ni  0.000  0.000  0.250
Ni  0.000  0.000  0.750

Entry 14:
Density functional theory data (PBE) for a geometry-optimized SrTaCuNi structure.

Summary:
DFT total energy   -4.923 eV per atom
Energy above the lowest structure with this stoichiometry   184 meV/atom

a = 6.535 Å, b = 6.535 Å, c = 6.535 Å
α = 90.00°, β = 90.00°, γ = 90.00°
Atoms (fractional coordinates):
Sr  0.000  0.000  0.000
Sr  0.000  0.500  0.500
Sr  0.500  0.000  0.500
Sr  0.500  0.500  0.000
Ta  0.250  0.250  0.750
Ta  0.250  0.750  0.250
Ta  0.750  0.250  0.250
Ta  0.750  0.750  0.750
Cu  0.250  0.250  0.250
Cu  0.250  0.750  0.750
Cu  0.750  0.250  0.750
Cu  0.750  0.750  0.250
Ni  0.000  0.000  0.500
Ni  0.000  0.500  0.000
Ni  0.500  0.000  0.000
Ni  0.500  0.500  0.500

Entry 15:
Density functional theory data (PBE) for a geometry-optimized SrTaCuNi structure.

Summary:
DFT total energy   -5.107 eV per atom
Energy above the lowest structure with this stoichiometry   0 meV/atom

a = 6.658 Å, b = 6.658 Å, c = 6.658 Å
α = 90.00°, β = 90.00°, γ = 90.00°
Atoms (fractional coordinates):
Sr  0.000  0.000  0.000
Sr  0.000  0.500  0.500
Sr  0.500  0.000  0.500
Sr  0.500  0.500  0.000
Ta  0.000  0.000  0.500
Ta  0.000  0.500  0.000
Ta  0.500  0.000  0.000
Ta  0.500  0.500  0.500
Cu  0.250  0.250  0.250
Cu  0.250  0.750  0.750
Cu  0.750  0.250  0.750
Cu  0.750  0.750  0.250
Ni  0.250  0.250  0.750
Ni  0.250  0.750  0.250
Ni  0.750  0.250  0.250
Ni  0.750  0.750  0.750

Entry 16:
Density functional theory data (PBE) for a geometry-optimized SrTaCuNi structure.

Summary:
DFT total energy   -4.781 eV per atom
Energy above the lowest structure with this stoichiometry   326 meV/atom

a = 6.536 Å, b = 6.536 Å, c = 6.536 Å
α = 90.00°, β = 90.00°, γ = 90.00°
Atoms (fractional coordinates):
Sr  0.000  0.000  0.000
Sr  0.000  0.500  0.500
Sr  0.500  0.000  0.500
Sr  0.500  0.500  0.000
Ta  0.250  0.250  0.750
Ta  0.250  0.750  0.250
Ta  0.750  0.250  0.250
Ta  0.750  0.750  0.750
Cu  0.000  0.000  0.500
Cu  0.000  0.500  0.000
Cu  0.500  0.000  0.000
Cu  0.500  0.500  0.500
Ni  0.250  0.250  0.250
Ni  0.250  0.750  0.750
Ni  0.750  0.250  0.750
Ni  0.750  0.750  0.250

Entry 17:
Density functional theory data (PBE) for a geometry-optimized SrCuNiTe3 structure.

Summary:
DFT total energy   -3.923 eV per atom
Energy above the lowest structure with this stoichiometry   0 meV/atom

a = 8.175 Å, b = 4.143 Å, c = 9.296 Å
α = 90.00°, β = 104.43°, γ = 90.00°
Atoms (fractional coordinates):
Sr  0.190  0.250  0.265
Sr  0.810  0.750  0.735
Cu  0.065  0.250  0.580
Cu  0.935  0.750  0.420
Ni  0.333  0.750  0.849
Ni  0.667  0.250  0.151
Te  0.128  0.250  0.884
Te  0.264  0.750  0.556
Te  0.453  0.750  0.134
Te  0.547  0.250  0.866
Te  0.736  0.250  0.444
Te  0.872  0.750  0.116

Entry 18:
Density functional theory data (PBE) for a geometry-optimized SrCuNiTe3 structure.

Summary:
DFT total energy   -3.904 eV per atom
Energy above the lowest structure with this stoichiometry   20 meV/atom

a = 6.846 Å, b = 6.846 Å, c = 10.710 Å
α = 90.00°, β = 90.00°, γ = 144.20°
Atoms (fractional coordinates):
Sr  0.230  0.770  0.750
Sr  0.770  0.230  0.250
Cu  0.454  0.546  0.250
Cu  0.546  0.454  0.750
Ni  0.000  0.000  0.000
Ni  0.000  0.000  0.500
Te  0.065  0.935  0.250
Te  0.370  0.630  0.027
Te  0.370  0.630  0.473
Te  0.630  0.370  0.527
Te  0.630  0.370  0.973
Te  0.935  0.065  0.750

Entry 19:
Density functional theory data (PBE) for a geometry-optimized SrZnCuNi structure.

Summary:
DFT total energy   -3.247 eV per atom

a = 4.211 Å, b = 4.211 Å, c = 15.608 Å
α = 90.00°, β = 90.00°, γ = 120.00°
Atoms (fractional coordinates):
Sr  0.000  0.000  0.000
Sr  0.333  0.667  0.667
Sr  0.667  0.333  0.333
Zn  0.000  0.000  0.504
Zn  0.333  0.667  0.170
Zn  0.667  0.333  0.837
Cu  0.000  0.000  0.810
Cu  0.333  0.667  0.476
Cu  0.667  0.333  0.143
Ni  0.000  0.000  0.189
Ni  0.333  0.667  0.856
Ni  0.667  0.333  0.523

Entry 20:
Density functional theory data (PBE) for a geometry-optimized TaCu2Ni structure.

Summary:
DFT total energy   -6.271 eV per atom

a = 4.316 Å, b = 5.252 Å, c = 4.572 Å
α = 90.00°, β = 90.00°, γ = 90.00°
Atoms (fractional coordinates):
Ta  0.250  0.250  0.136
Ta  0.750  0.750  0.864
Cu  0.250  0.503  0.645
Cu  0.250  0.997  0.645
Cu  0.750  0.003  0.355
Cu  0.750  0.497  0.355
Ni  0.250  0.750  0.158
Ni  0.750  0.250  0.842